Entry 1:
First-principles (PBE) data for Hf2Ga2Ag after structural relaxation, as listed in the Open Quantum Materials Database.

POSCAR file:
```
Hf2Ga2Ag
1.0
-1.848 1.848 7.266
1.848 -1.848 7.266
1.848 1.848 -7.266
Hf Ga Ag
2 2 1
direct
0.102 0.102 0.000
0.898 0.898 0.000
0.250 0.750 0.500
0.750 0.250 0.500
0.500 0.500 0.000
```

Values from the calculation:
* polymorph energy (0 for the lowest one): 0.0000 eV/atom
* M_tot: 0.017 μB/atom

=====

Entry 2:
First-principles (PBE) data for LiErTe3Pb after structural relaxation, as listed in the Open Quantum Materials Database.

POSCAR file:
```
LiErTe3Pb
1.0
9.476 -2.170 0.000
9.476 2.170 0.000
-2.163 0.000 8.985
Li Er Te Pb
2 2 6 2
direct
0.005 0.005 0.198
0.995 0.995 0.802
0.335 0.335 0.914
0.665 0.665 0.086
0.000 0.000 0.500
0.169 0.169 0.853
0.178 0.178 0.323
0.500 0.500 0.000
0.822 0.822 0.677
0.831 0.831 0.147
0.366 0.366 0.436
0.634 0.634 0.564
```

Values from the calculation:
* polymorph energy (0 for the lowest one): 0.0000 eV/atom
* M_tot: 0.000 μB/atom

=====

Entry 3:
First-principles (PBE) data for DySbTe after structural relaxation, as listed in the Open Quantum Materials Database.

POSCAR file:
```
DySbTe
1.0
0.000 3.673 3.673
3.673 0.000 3.673
3.673 3.673 0.000
Dy Sb Te
1 1 1
direct
0.000 0.000 0.000
0.750 0.750 0.750
0.250 0.250 0.250
```

Values from the calculation:
* energy: -4.5245 eV/atom
* M_tot: 0.020 μB/atom

=====

Entry 4:
First-principles (PBE) data for BeAlCuMo after structural relaxation, as listed in the Open Quantum Materials Database.

POSCAR file:
```
BeAlCuMo
1.0
0.000 2.954 2.954
2.954 0.000 2.954
2.954 2.954 0.000
Be Al Cu Mo
1 1 1 1
direct
0.000 0.000 0.000
0.750 0.750 0.750
0.500 0.500 0.500
0.250 0.250 0.250
```

Values from the calculation:
* polymorph energy (0 for the lowest one): 0.0445 eV/atom
* M_tot: 0.350 μB/atom

=====

Entry 5:
First-principles (PBE) data for Ta4CuPbC2 after structural relaxation, as listed in the Open Quantum Materials Database.

POSCAR file:
```
Ta4CuPbC2
1.0
3.195 0.000 0.000
-1.597 2.767 0.000
0.000 0.000 13.759
Ta Cu Pb C
4 1 1 2
direct
0.000 0.000 0.148
0.000 0.000 0.852
0.333 0.667 0.320
0.333 0.667 0.680
0.333 0.667 0.000
0.000 0.000 0.500
0.667 0.333 0.234
0.667 0.333 0.766
```

Values from the calculation:
* energy: -9.3521 eV/atom
* M_tot: 0.000 μB/atom

=====

Entry 6:
First-principles (PBE) data for CsGd after structural relaxation, as listed in the Open Quantum Materials Database.

POSCAR file:
```
CsGd
1.0
0.000 4.528 4.528
4.528 0.000 4.528
4.528 4.528 0.000
Cs Gd
1 1
direct
0.000 0.000 0.000
0.750 0.750 0.750
```

Values from the calculation:
* energy: -0.9305 eV/atom
* M_tot: 1.001 μB/atom